Material: NaCa3Mg3FeSi8O24
Method: DFT, GGA+U
State: relaxed

```
40
Lattice="-2.1633 -0.4833 -8.7230 5.1657 -0.4222 -1.2577 1.8239 -9.6068 0.0800" Properties=species:S:1:pos:R:3 pbc="T T T"
O -0.4356 -6.7841 -8.6678
O 1.0007 -8.7438 -6.7168
O 0.1028 -3.9189 -6.7820
O 3.9932 -1.4610 -1.6750
O 4.2556 -6.4443 -4.5064
O 2.7493 -2.0090 -7.5237
O 4.2469 -6.4828 -0.8452
O -0.3318 -1.7304 -4.5890
O -0.3200 -1.6606 -8.3508
O 2.6397 -8.6476 -0.9412
O 3.1611 -4.1976 -9.7031
O 2.1312 -6.3781 -2.4993
O 1.2800 -1.5791 -2.5136
O 3.6376 -6.8360 -7.4970
O 4.6456 -8.6876 -2.9544
O 5.1002 -8.7948 -5.5447
O 2.2708 -1.9264 -4.9934
O 1.2829 -6.3170 -5.4211
O 3.1660 -4.2796 -6.0010
O 3.7755 -3.8928 -3.0448
O 3.3389 -9.2556 -8.8374
O 0.9598 -3.9811 -3.8255
O 2.6723 -3.5619 -0.6165
O 2.6049 -8.5748 -4.7079
Si -0.4290 -3.2762 -8.1505
Si 1.0728 -2.3650 -3.9135
Si 4.1563 -8.0573 -4.3629
Si 2.6819 -7.0350 -1.1502
Si 3.2678 -2.6633 -6.1454
Si 1.1674 -7.9364 -5.3323
Si 3.4869 -7.6312 -8.8804
Si 3.9001 -3.0851 -1.6712
Na -0.6510 -0.1454 -2.6249
Fe 2.3604 -0.2608 -1.5259
Ca 1.7711 -5.3996 -7.5392
Ca 1.0726 -0.5485 -6.7185
Ca 0.4763 -4.9007 -1.7169
Mg 2.6136 -5.2114 -4.1422
Mg -0.3655 -5.0888 -5.1110
Mg -1.9633 -0.4386 -7.9165
```

Values from the calculation:
Total magnetization   4.912 μB per formula unit
N(E_F)   0.0 states/eV/cell
Symmetry   P2, No. 3
Raw total energy   -7.2920 eV per atom